Run P
A relaxed DyMgTlIn crystal. Source: Alexandria via LeMat-Bulk, functional PBE.

```
DyMgTlIn
1.0
5.234 0.000 0.000
2.617 4.533 0.000
2.617 1.511 4.274
Tl In Mg Dy
1 1 1 1
direct
0.000 0.000 0.000
0.500 0.500 0.500
0.750 0.750 0.750
0.250 0.250 0.250
```

## Properties
As for the space-group type: F-43m, No. 216. The value obtained for the theoretical density is 8.287 g/cm³.

---

Run Q
A relaxed DyMgTlIn crystal. Source: Alexandria via LeMat-Bulk, functional PBE.

```
DyMgTlIn
1.0
4.507 0.000 0.000
0.000 4.696 0.000
0.000 0.000 4.665
Dy Mg Tl In
1 1 1 1
direct
0.500 0.500 0.000
0.500 0.000 0.500
0.000 0.000 0.000
0.000 0.500 0.500
```

## Properties
As for the space-group type: Pmmm, No. 47. The value obtained for the theoretical density is 8.510 g/cm³.

---

The structure with the greatest stability is run Q.

---

Run P
A relaxed NdDy4In2 crystal. Source: Alexandria via LeMat-Bulk, functional PBE.

```
NdDy4In2
1.0
10.803 0.000 0.000
0.000 6.201 -2.869
0.000 -0.610 6.817
In Nd Dy
4 2 8
direct
0.000 0.721 0.443
0.000 0.279 0.557
0.500 0.779 0.557
0.500 0.221 0.443
0.000 0.000 0.000
0.500 0.500 0.000
0.833 0.500 0.000
0.750 0.500 0.500
0.750 0.000 0.500
0.667 0.000 0.000
0.333 0.000 0.000
0.250 0.000 0.500
0.250 0.500 0.500
0.167 0.500 0.000
```

## Properties
As for the space-group type: Fmmm, No. 69. The value obtained for the theoretical density is 7.768 g/cm³.

---

Run Q
A relaxed NdDy4In2 crystal. Source: Alexandria via LeMat-Bulk, functional PBE.

```
NdDy4In2
1.0
-3.631 -3.069 -3.315
0.933 -4.671 3.302
-3.596 5.587 3.834
Nd Dy In
1 4 2
direct
0.000 0.000 0.000
0.750 0.250 0.500
0.250 0.750 0.500
0.500 0.000 0.000
0.000 0.500 0.000
0.624 0.624 0.248
0.376 0.376 0.752
```

## Properties
As for the space-group type: I4/mmm, No. 139. The value obtained for the theoretical density is 7.804 g/cm³.

---

The structure with the greatest stability is run P.

---

Run P
A relaxed Nd2Dy3In crystal. Source: Alexandria via LeMat-Bulk, functional PBE.

```
Nd2Dy3In
1.0
5.096 -0.396 -0.681
-1.835 9.245 0.430
-1.835 -4.210 8.242
Nd Dy In
4 6 2
direct
0.250 0.926 0.074
0.250 0.225 0.775
0.750 0.074 0.926
0.750 0.775 0.225
0.043 0.214 0.372
0.543 0.372 0.214
0.000 0.500 0.000
0.957 0.786 0.628
0.500 0.000 0.500
0.457 0.628 0.786
0.250 0.605 0.395
0.750 0.395 0.605
```

## Properties
As for the space-group type: Imma, No. 74. The value obtained for the theoretical density is 7.888 g/cm³.

---

Run Q
A relaxed Nd2Dy3In crystal. Source: Alexandria via LeMat-Bulk, functional PBE.

```
Nd2Dy3In
1.0
4.936 0.000 0.000
0.000 4.645 -1.571
0.000 0.122 8.014
Nd Dy In
2 3 1
direct
0.000 0.662 0.324
0.000 0.338 0.676
0.500 0.164 0.327
0.500 0.500 0.000
0.500 0.836 0.673
0.000 0.000 0.000
```

## Properties
As for the space-group type: Cmmm, No. 65. The value obtained for the theoretical density is 8.009 g/cm³.

---

The structure with the greatest stability is run Q.